DFT (GGA-PBE) results for TaNiHgB after structural relaxation.

```
4
Lattice="0.000 3.054 3.054 3.054 0.000 3.054 3.054 3.054 0.000" Properties=species:S:1:pos:R:3 pbc="T T T"
B 0.000 0.000 0.000
Hg 3.054 3.054 3.054
Ni 4.581 4.581 4.581
Ta 1.527 1.527 1.527
```

Summary:
offset from the most stable computed form = 188 meV/atom

DFT (GGA-PBE) results for TbGdZr2As2 after structural relaxation.

```
6
Lattice="4.668 2.018 6.824 -0.742 4.035 7.456 -2.744 -5.519 -5.869" Properties=species:S:1:pos:R:3 pbc="T T T"
As 0.516 0.796 1.878
As 3.410 5.257 12.404
Gd 1.265 1.950 4.601
Tb 2.660 4.100 9.674
Zr 0.963 -1.749 0.479
Zr -1.742 -0.741 0.795
```

Summary:
total DFT energy (no corrections) = -41.7 eV per cell

DFT (GGA-PBE) results for PrNd2Mg4In2 after structural relaxation.

```
9
Lattice="-3.117 -3.563 0.784 5.578 -5.190 -1.411 -1.160 2.600 7.207" Properties=species:S:1:pos:R:3 pbc="T T T"
In 1.781 -4.381 1.851
In -0.474 -1.775 4.735
Mg 3.737 -6.339 0.731
Mg 1.785 -3.742 4.777
Mg 4.411 -2.586 5.787
Mg -1.363 -0.443 7.254
Nd 3.187 -2.964 -0.802
Nd -0.660 1.483 4.117
Pr 1.894 -1.110 2.484
```

Summary:
total DFT energy (no corrections) = -28.8 eV per cell

DFT (GGA-PBE) results for TaCdAu after structural relaxation.

```
3
Lattice="0.000 3.158 3.158 3.158 0.000 3.158 3.158 3.158 0.000" Properties=species:S:1:pos:R:3 pbc="T T T"
Au 0.000 0.000 0.000
Cd 1.579 1.579 1.579
Ta 4.736 4.736 4.736
```

Summary:
offset from the most stable computed form = 0 meV/atom
ΔH_f (0 K) = 316 meV/atom

DFT (GGA-PBE) results for TbYAsO after structural relaxation.

```
8
Lattice="-3.200 1.869 2.271 1.871 -1.295 3.703 4.602 7.513 0.301" Properties=species:S:1:pos:R:3 pbc="T T T"
As 2.283 1.553 1.940
As 1.655 6.247 1.348
O 0.000 0.000 0.000
O -0.664 0.287 2.987
Tb 2.301 3.756 0.150
Tb 1.637 4.044 3.137
Y -1.142 1.683 1.165
Y 5.079 6.117 2.122
```

Summary:
offset from the most stable computed form = 109 meV/atom

DFT (GGA-PBE) results for ScGaPt2 after structural relaxation.

```
4
Lattice="-3.285 -2.829 -1.383 -3.713 1.652 -2.048 -0.659 -0.723 -4.445" Properties=species:S:1:pos:R:3 pbc="T T T"
Ga -3.828 -0.950 -3.938
Pt 0.000 0.000 0.000
Pt -5.743 -1.425 -5.907
Sc -1.914 -0.475 -1.969
```

Summary:
total DFT energy (no corrections) = -24.4 eV per cell

DFT (GGA-PBE) results for LiPrInAu after structural relaxation.

```
4
Lattice="0.514 -4.013 -2.898 0.215 -4.533 2.043 -3.798 -3.166 -0.563" Properties=species:S:1:pos:R:3 pbc="T T T"
Au 0.000 0.000 0.000
In -0.767 -2.928 -0.355
Li -1.534 -5.856 -0.709
Pr -2.301 -8.784 -1.064
```

Summary:
total DFT energy (no corrections) = -15.1 eV per cell

DFT (GGA-PBE) results for HfAuNO after structural relaxation.

```
8
Lattice="-3.833 2.179 -0.203 -1.991 -3.660 -1.457 -0.387 -1.377 5.843" Properties=species:S:1:pos:R:3 pbc="T T T"
Au -1.020 -0.426 0.483
Au -3.932 -1.166 -0.345
Hf -3.646 -0.035 2.588
Hf -2.726 -2.952 1.962
N -4.589 -1.789 1.591
N -1.678 -1.049 2.422
O -4.086 -0.546 4.328
O -3.165 -3.466 3.701
```

Summary:
offset from the most stable computed form = 379 meV/atom

DFT (GGA-PBE) results for Np2IrN3 after structural relaxation.

```
6
Lattice="-1.913 -1.144 6.224 -3.073 3.592 4.622 0.353 -2.452 -6.130" Properties=species:S:1:pos:R:3 pbc="T T T"
Ir 0.000 0.000 0.000
N -0.855 0.420 1.861
N -4.131 2.028 8.985
N -0.780 -1.798 0.047
Np -1.765 0.867 3.840
Np -3.221 1.581 7.006
```

Summary:
total DFT energy (no corrections) = -64.3 eV per cell

DFT (GGA-PBE) results for NbCuSiNi after structural relaxation.

```
4
Lattice="-3.808 0.309 1.813 -3.440 -1.331 -2.067 -2.020 -3.487 1.282" Properties=species:S:1:pos:R:3 pbc="T T T"
Cu -6.952 -3.382 0.771
Nb -2.317 -1.127 0.257
Ni -4.634 -2.254 0.514
Si 0.000 0.000 0.000
```

Summary:
offset from the most stable computed form = 0 meV/atom

DFT (GGA-PBE) results for Tm2LuFe2Co7 after structural relaxation.

```
12
Lattice="2.483 1.434 7.901 -2.483 1.434 7.901 0.000 -2.867 7.901" Properties=species:S:1:pos:R:3 pbc="T T T"
Co 0.000 1.450 9.848
Co 1.256 0.725 13.854
Co -1.256 0.725 13.854
Co 0.000 0.000 11.851
Co -1.256 -0.725 9.848
Co 1.256 -0.725 9.848
Co 0.000 -1.450 13.854
Fe 0.000 0.000 7.929
Fe 0.000 0.000 15.773
Lu 0.000 0.000 0.000
Tm 0.000 0.000 3.325
Tm 0.000 0.000 20.377
```

Summary:
ΔH_f (0 K) = -221 meV/atom

DFT (GGA-PBE) results for TaF5 after structural relaxation.

```
12
Lattice="-1.945 -4.704 2.134 -0.833 1.165 -5.330 5.267 -2.832 -1.442" Properties=species:S:1:pos:R:3 pbc="T T T"
F -1.261 -2.916 -0.440
F 0.804 -1.045 -1.572
F 0.325 -0.377 -4.630
F -0.791 -3.076 -3.406
F 0.746 -3.995 -0.990
F 1.743 -2.376 -3.649
F 3.279 -3.295 -1.233
F 2.163 -5.994 -0.008
F 1.685 -5.326 -3.067
F 3.750 -3.455 -4.199
Ta 0.113 -1.500 -3.203
Ta 2.376 -4.872 -1.436
```

Summary:
offset from the most stable computed form = 78 meV/atom

DFT (GGA-PBE) results for BiOsPt after structural relaxation.

```
3
Lattice="0.000 3.144 3.144 3.144 0.000 3.144 3.144 3.144 0.000" Properties=species:S:1:pos:R:3 pbc="T T T"
Bi 0.000 0.000 0.000
Os 1.572 1.572 1.572
Pt 4.717 4.717 4.717
```

Summary:
total DFT energy (no corrections) = -18.7 eV per cell

DFT (GGA-PBE) results for TbYTlNi2 after structural relaxation.

```
5
Lattice="-1.653 -1.205 -3.073 -4.948 -3.793 4.148 -6.546 -0.269 3.626" Properties=species:S:1:pos:R:3 pbc="T T T"
Ni -2.309 -0.816 1.561
Ni -9.193 -3.249 6.218
Tb -4.977 -2.069 1.271
Tl -0.003 -0.001 0.002
Y -8.158 -3.193 3.423
```

Summary:
total DFT energy (no corrections) = -27.0 eV per cell

DFT (GGA-PBE) results for TaFeGePd after structural relaxation.

```
4
Lattice="0.000 3.120 3.120 3.120 0.000 3.120 3.120 3.120 0.000" Properties=species:S:1:pos:R:3 pbc="T T T"
Fe 4.679 4.679 4.679
Ge 0.000 0.000 0.000
Pd 3.120 3.120 3.120
Ta 1.560 1.560 1.560
```

Summary:
offset from the most stable computed form = 38 meV/atom

DFT (GGA-PBE) results for LiMgAu2 after structural relaxation.

```
8
Lattice="2.267 -3.926 0.000 2.267 3.926 0.000 0.000 0.000 8.131" Properties=species:S:1:pos:R:3 pbc="T T T"
Au 2.267 1.309 0.666
Au 2.267 1.309 3.399
Au 2.267 -1.309 4.732
Au 2.267 -1.309 7.465
Li 0.000 0.000 2.033
Li 0.000 0.000 6.098
Mg 2.267 -1.309 2.033
Mg 2.267 1.309 6.098
```

Summary:
total DFT energy (no corrections) = -23.0 eV per cell

DFT (GGA-PBE) results for PmCd after structural relaxation.

```
2
Lattice="0.000 3.444 3.444 3.444 0.000 3.444 3.444 3.444 0.000" Properties=species:S:1:pos:R:3 pbc="T T T"
Cd 0.000 0.000 0.000
Pm 1.722 1.722 1.722
```

Summary:
ΔH_f (0 K) = 659 meV/atom

DFT (GGA-PBE) results for Lu2MgBi after structural relaxation.

```
4
Lattice="-1.231 -3.100 4.244 0.967 1.771 5.007 -4.111 1.350 3.227" Properties=species:S:1:pos:R:3 pbc="T T T"
Bi -2.188 0.011 6.239
Lu 0.000 0.000 0.000
Lu -3.281 0.016 9.358
Mg -1.094 0.005 3.119
```

Summary:
total DFT energy (no corrections) = -14.4 eV per cell

DFT (GGA-PBE) results for BaPuTl after structural relaxation.

```
3
Lattice="-3.276 -4.590 0.078 -3.782 -0.696 4.126 -5.509 0.448 -1.120" Properties=species:S:1:pos:R:3 pbc="T T T"
Ba -3.142 -1.210 0.771
Pu -9.425 -3.629 2.313
Tl 0.000 0.000 0.000
```

Summary:
offset from the most stable computed form = 0 meV/atom

DFT (GGA-PBE) results for NaSmBe after structural relaxation.

```
3
Lattice="0.000 3.376 3.376 3.376 0.000 3.376 3.376 3.376 0.000" Properties=species:S:1:pos:R:3 pbc="T T T"
Be 0.000 0.000 0.000
Na 1.688 1.688 1.688
Sm 5.065 5.065 5.065
```

Summary:
offset from the most stable computed form = 0 meV/atom

DFT (GGA-PBE) results for TaBeTeAs after structural relaxation.

```
4
Lattice="0.000 3.303 3.303 3.303 0.000 3.303 3.303 3.303 0.000" Properties=species:S:1:pos:R:3 pbc="T T T"
As 1.652 1.652 1.652
Be 4.955 4.955 4.955
Ta 0.000 0.000 0.000
Te 3.303 3.303 3.303
```

Summary:
offset from the most stable computed form = 278 meV/atom

DFT (GGA-PBE) results for YTa2As after structural relaxation.

```
4
Lattice="4.524 -1.117 1.173 2.545 2.938 2.825 1.061 -1.315 4.498" Properties=species:S:1:pos:R:3 pbc="T T T"
As 4.065 0.253 4.248
Ta 0.000 0.000 0.000
Ta 6.098 0.379 6.372
Y 2.033 0.127 2.124
```

Summary:
total DFT energy (no corrections) = -34.2 eV per cell

DFT (GGA-PBE) results for GdDy2In3Pd2Au after structural relaxation.

```
9
Lattice="-0.584 -2.075 3.200 7.629 0.273 1.571 -4.752 5.544 2.726" Properties=species:S:1:pos:R:3 pbc="T T T"
Au 0.002 0.004 0.003
Dy 3.101 0.111 0.638
Dy -1.932 2.254 1.108
Gd 1.707 3.452 2.550
In 5.287 -0.832 2.752
In 0.477 0.518 2.749
In -3.764 3.020 3.597
Pd 3.221 0.986 3.553
Pd -0.930 2.752 3.941
```

Summary:
total DFT energy (no corrections) = -42.7 eV per cell

DFT (GGA-PBE) results for CsKZr after structural relaxation.

```
3
Lattice="0.000 4.692 4.692 4.692 0.000 4.692 4.692 4.692 0.000" Properties=species:S:1:pos:R:3 pbc="T T T"
Cs 2.346 2.346 2.346
K 0.000 0.000 0.000
Zr 7.038 7.038 7.038
```

Summary:
offset from the most stable computed form = 0 meV/atom

DFT (GGA-PBE) results for RbAlPd after structural relaxation.

```
3
Lattice="0.000 3.696 3.696 3.696 0.000 3.696 3.696 3.696 0.000" Properties=species:S:1:pos:R:3 pbc="T T T"
Al 1.848 1.848 1.848
Pd 5.544 5.544 5.544
Rb 0.000 0.000 0.000
```

Summary:
offset from the most stable computed form = 639 meV/atom

DFT (GGA-PBE) results for PrEr2Cd4In2 after structural relaxation.

```
9
Lattice="4.656 0.000 0.000 0.000 6.569 3.720 0.000 -6.569 3.720" Properties=species:S:1:pos:R:3 pbc="T T T"
Cd 2.328 1.578 0.901
Cd 2.328 -1.578 0.901
Cd 2.328 0.000 5.625
Cd 0.000 0.000 7.360
Er 0.000 3.758 2.159
Er 0.000 -3.758 2.159
In 2.328 2.242 3.742
In 2.328 -2.242 3.742
Pr 0.000 0.000 3.173
```

Summary:
total DFT energy (no corrections) = -26.5 eV per cell

DFT (GGA-PBE) results for ErSiNO after structural relaxation.

```
8
Lattice="3.906 0.000 0.000 0.000 3.906 0.000 0.000 0.000 7.183" Properties=species:S:1:pos:R:3 pbc="T T T"
Er 0.000 1.953 1.059
Er 1.953 0.000 6.124
N 0.000 1.953 3.585
N 1.953 0.000 3.598
O 0.000 0.000 0.000
O 1.953 1.953 0.000
Si 0.000 0.000 3.592
Si 1.953 1.953 3.592
```

Summary:
offset from the most stable computed form = 222 meV/atom

DFT (GGA-PBE) results for PaGe2Au after structural relaxation.

```
8
Lattice="-2.948 7.554 5.188 -1.367 9.527 -0.190 -0.620 -8.959 -3.469" Properties=species:S:1:pos:R:3 pbc="T T T"
Au -2.863 3.568 2.109
Au -2.072 4.555 -0.580
Ge -1.544 6.112 1.788
Ge -2.771 10.970 3.210
Ge -1.784 -0.702 0.860
Ge -0.993 0.284 -1.829
Pa -0.496 1.964 0.575
Pa -3.819 15.118 4.424
```

Summary:
total DFT energy (no corrections) = -47.6 eV per cell